Record 1
A plane-wave DFT calculation with PBE-GGA was carried out for a relaxed La3TlGa2 crystal.

Cell: 3.8134 3.8134 11.7272 Å, 90.00 90.00 90.00°
Positions (direct):
La  0.0000  0.0000  0.6841
La  0.0000  0.0000  0.3159
La  0.0000  0.0000  0.0000
Tl  0.5000  0.5000  0.5000
Ga  0.5000  0.5000  0.8409
Ga  0.5000  0.5000  0.1591

## Properties
Energy of formation in meV per atom: -522



Record 2
A plane-wave DFT calculation with PBE-GGA was carried out for a relaxed Rb4Pr3PtO8 crystal.

Cell: 7.0195 7.5812 7.4720 Å, 114.36 118.02 90.00°
Site moments in Bohr magnetons follow the coordinates.
Positions (direct):
Pt  0.0000  0.5000  0.0000  0.54
O  0.8184  0.3457  0.0638  0.09
O  0.2865  0.7302  0.5729  0.04
O  0.2454  0.3457  0.0638  0.09
O  0.7093  0.6799  0.4186  0.00
O  0.7135  0.2698  0.4271  0.04
O  0.1816  0.6543  0.9362  0.09
O  0.7546  0.6543  0.9362  0.09
O  0.2907  0.3201  0.5814  0.00
Rb  0.5000  0.0000  0.0000  0.00
Rb  0.0000  0.0000  0.5000  0.00
Rb  0.5000  0.0000  0.5000  0.00
Rb  0.0000  0.0000  0.0000  0.00
Pr  0.5000  0.5000  0.0000  0.00
Pr  0.5000  0.5000  0.5000  0.00
Pr  0.0000  0.5000  0.5000  0.00

## Properties
Formation energy (no corrections) in eV per atom: -2.012



Record 3
A plane-wave DFT calculation with PBE-GGA was carried out for a relaxed Mg5Zn2Ga12 crystal.

Cell: 6.5712 8.7556 7.6382 Å, 55.03 88.09 90.00°
Positions (direct):
Zn  0.0000  0.7319  0.0000
Zn  0.0000  0.2681  0.0000
Ga  0.3349  0.8721  0.7487
Ga  0.2546  0.6363  0.3206
Ga  0.6651  0.6208  0.2513
Ga  0.7454  0.3637  0.6794
Ga  0.2978  0.4810  0.0380
Ga  0.6651  0.1279  0.2513
Ga  0.3349  0.3792  0.7487
Ga  0.9282  0.8889  0.2223
Ga  0.7022  0.5190  0.9620
Ga  0.2546  0.0431  0.3206
Ga  0.7454  0.9569  0.6794
Ga  0.0718  0.1111  0.7777
Mg  0.5000  0.0000  0.0000
Mg  0.9588  0.3255  0.3489
Mg  0.0412  0.6745  0.6511
Mg  0.5617  0.7342  0.5315
Mg  0.4383  0.2658  0.4685

## Properties
Energy of formation in meV per atom: -65



Record 4
A plane-wave DFT calculation with PBE-GGA was carried out for a relaxed KTl3Zn2F9 crystal.

Cell: 6.0142 6.0142 8.2335 Å, 90.00 90.00 120.00°
Positions (direct):
F  0.8376  0.1624  0.7409
F  0.1624  0.3248  0.2591
F  0.5000  0.0000  0.0000
F  0.0000  0.5000  0.0000
F  0.1624  0.8376  0.2591
F  0.3248  0.1624  0.7409
F  0.5000  0.5000  0.0000
F  0.8376  0.6752  0.7409
F  0.6752  0.8376  0.2591
Tl  0.6667  0.3333  0.2748
Tl  0.0000  0.0000  0.0000
Tl  0.3333  0.6667  0.7252
Zn  0.3333  0.6667  0.1510
Zn  0.6667  0.3333  0.8490
K  0.0000  0.0000  0.5000

## Properties
Formation energy (no corrections) in eV per atom: -2.067



Record 5
A plane-wave DFT calculation with PBE-GGA was carried out for a relaxed AlCd3In crystal.

Cell: 5.2667 5.2667 5.2667 Å, 90.00 90.00 90.00°
Positions (direct):
In  0.5000  0.5000  0.5000
Cd  0.0000  0.0000  0.5000
Cd  0.5000  0.0000  0.0000
Cd  0.0000  0.5000  0.0000
Al  0.0000  0.0000  0.0000

## Properties
Energy of formation in meV per atom: 307



Record 6
A plane-wave DFT calculation with PBE-GGA was carried out for a relaxed ZnP2W crystal.

Cell: 4.4610 3.2806 4.5619 Å, 69.24 90.00 90.00°
Positions (direct):
P  0.0000  0.0301  0.0603
P  0.5000  0.4364  0.2506
W  0.0000  0.3183  0.4888
Zn  0.5000  0.7152  0.7002

## Properties
Energy of formation in meV per atom: 58